First-principles (GGA-PBE) data for a relaxed structure of AlTlOs, as listed in the Alexandria database.

Cell: 7.450 7.215 2.963 Å, 82.84 73.92 23.24°
Fractional positions:
Al (0.000, 0.000, 0.000)
Tl (0.305, 0.305, 0.695)
Os (0.629, 0.629, 0.371)

Properties
Energy above the most stable polymorph in this dataset: 0.301 eV per atom
E_tot: -15.57 eV for the cell shown
Spin magnetization: 0.0 Bohr magnetons per cell
Crystal system: orthorhombic
DOS(E_F): 0.67 states/eV/atom


First-principles (GGA-PBE) data for a relaxed structure of Al4TlOs, as listed in the Alexandria database.

Cell: 5.218 5.218 5.218 Å, 60.00 60.00 60.00°
Fractional positions:
Al (0.123, 0.123, 0.123)
Al (0.123, 0.123, 0.630)
Al (0.123, 0.630, 0.123)
Al (0.630, 0.123, 0.123)
Tl (0.500, 0.500, 0.500)
Os (0.750, 0.750, 0.750)

Properties
E_tot: -26.23 eV for the cell shown
Spin magnetization: 0.0 Bohr magnetons per cell
Crystal system: cubic
DOS(E_F): 0.74 states/eV/atom


First-principles (GGA-PBE) data for a relaxed structure of AlTlOs, as listed in the Alexandria database.

Cell: 5.396 5.396 5.396 Å, 144.42 144.42 51.20°
Fractional positions:
Al (0.000, 0.000, 0.000)
Tl (0.300, 0.300, 0.000)
Os (0.605, 0.605, 0.000)

Properties
Energy above the most stable polymorph in this dataset: 0.000 eV per atom
E_tot: -16.47 eV for the cell shown
Spin magnetization: 0.0 Bohr magnetons per cell
Crystal system: tetragonal
DOS(E_F): 0.13 states/eV/atom


First-principles (GGA-PBE) data for a relaxed structure of AlTlOs, as listed in the Alexandria database.

Cell: 4.419 4.419 4.419 Å, 60.00 60.00 60.00°
Fractional positions:
Al (0.000, 0.000, 0.000)
Tl (0.500, 0.500, 0.500)
Os (0.750, 0.750, 0.750)

Properties
Energy above the most stable polymorph in this dataset: 0.209 eV per atom
E_tot: -15.85 eV for the cell shown
Spin magnetization: 0.0 Bohr magnetons per cell
Crystal system: cubic
DOS(E_F): 0.40 states/eV/atom


First-principles (GGA-PBE) data for a relaxed structure of AlTlOs, as listed in the Alexandria database.

Cell: 3.055 3.055 6.762 Å, 90.00 90.00 120.00°
Fractional positions:
Al (0.000, 0.000, 0.000)
Tl (0.333, 0.667, 0.620)
Os (0.667, 0.333, 0.265)

Properties
Energy above the most stable polymorph in this dataset: 0.136 eV per atom
E_tot: -16.07 eV for the cell shown
Spin magnetization: 0.0 Bohr magnetons per cell
Crystal system: trigonal
DOS(E_F): 1.13 states/eV/atom


First-principles (GGA-PBE) data for a relaxed structure of AlTlOs, as listed in the Alexandria database.

Cell: 4.315 4.315 3.386 Å, 90.00 90.00 120.00°
Fractional positions:
Al (0.000, 0.000, 0.000)
Tl (0.333, 0.667, 0.500)
Os (0.667, 0.333, 0.000)

Properties
Energy above the most stable polymorph in this dataset: 0.169 eV per atom
E_tot: -15.97 eV for the cell shown
Spin magnetization: 0.0 Bohr magnetons per cell
Crystal system: hexagonal
DOS(E_F): 0.46 states/eV/atom


First-principles (GGA-PBE) data for a relaxed structure of Tm8Al2Os, as listed in the Alexandria database.

Cell: 9.018 9.018 6.847 Å, 110.70 110.70 33.04°
Fractional positions:
Tm (0.016, 0.016, 0.284)
Tm (0.199, 0.199, 0.780)
Tm (0.348, 0.348, 0.557)
Tm (0.403, 0.403, 0.076)
Tm (0.597, 0.597, 0.924)
Tm (0.652, 0.652, 0.443)
Tm (0.801, 0.801, 0.220)
Tm (0.984, 0.984, 0.716)
Al (0.178, 0.178, 0.194)
Al (0.822, 0.822, 0.806)
Os (0.500, 0.500, 0.500)

Properties
E_tot: -57.02 eV for the cell shown
Spin magnetization: 0.0 Bohr magnetons per cell
Crystal system: monoclinic
DOS(E_F): 0.83 states/eV/atom


First-principles (GGA-PBE) data for a relaxed structure of Tm6AlOs, as listed in the Alexandria database.

Cell: 9.424 9.424 9.424 Å, 150.30 150.30 42.50°
Fractional positions:
Tm (0.099, 0.599, 0.500)
Tm (0.246, 0.246, 0.000)
Tm (0.401, 0.901, 0.500)
Tm (0.599, 0.099, 0.500)
Tm (0.754, 0.754, 0.000)
Tm (0.901, 0.401, 0.500)
Al (0.000, 0.000, 0.000)
Os (0.500, 0.500, 0.000)

Properties
Energy above the most stable polymorph in this dataset: 0.000 eV per atom
E_tot: -43.00 eV for the cell shown
Spin magnetization: 0.0 Bohr magnetons per cell
Crystal system: tetragonal
DOS(E_F): 0.99 states/eV/atom